[1]
Density functional theory data (GGA-PBE) for a relaxed structure of Li2Tl2F7.

For the volume, the calculation gives 156.3 Å³/cell. Its energy is -4.137 eV/atom. As for the raw formation energy: -2.17 eV/atom. The calculation puts the total magnetic moment at 0.0 μB per formula unit.

Lattice parameters (Å, degrees): 5.1758 5.4100 5.7845 79.78 78.80 87.14
Closest atoms and distances in Å follow each position.
Fractional coordinates of all 11 atoms:
1 Li 0.0000 0.0000 0.0000  4 F 1.92-1.98
2 Li 0.0977 0.5450 0.5256  4 F 1.90-2.00
3 Tl 0.5093 0.4677 0.9844  6 F 2.35-2.44
4 Tl 0.6505 0.0327 0.5322  7 F 2.24-2.35
5 F 0.3315 0.2815 0.3853  1 Li 2.00
6 F 0.3608 0.0970 0.8841  1 Li 1.92
7 F 0.3876 0.6961 0.6171  1 Li 1.95
8 F 0.8344 0.7871 0.8284  1 Li 1.97
9 F 0.8403 0.2643 0.1782  1 Li 1.97
10 F 0.8456 0.3004 0.6967  1 Li 1.91
11 F 0.9318 0.7882 0.3203  2 Li 1.90-1.98



[2]
Density functional theory data (GGA-PBE) for a relaxed structure of LiTl2F7.

For the volume, the calculation gives 136.8 Å³/cell. Its energy is -3.954 eV/atom. As for the raw formation energy: -1.98 eV/atom. The calculation puts the total magnetic moment at 0.0 μB per formula unit.

Lattice parameters (Å, degrees): 10.2172 10.2172 10.2172 22.48 22.48 22.48
Closest atoms and distances in Å follow each position.
Fractional coordinates of all 10 atoms:
1 Li 0.0000 0.0000 0.0000  2 F 2.13
2 Tl 0.4275 0.4275 0.4275  2 F 2.11-2.17
3 Tl 0.5725 0.5725 0.5725  2 F 2.11-2.17
4 F 0.0713 0.0713 0.0713  1 Li 2.13
5 F 0.2209 0.2209 0.2209  3 Tl 2.36, 3 F 2.61
6 F 0.3568 0.3568 0.3568  1 Tl 2.11
7 F 0.5000 0.5000 0.5000  2 Tl 2.17
8 F 0.6432 0.6432 0.6432  1 Tl 2.11
9 F 0.7791 0.7791 0.7791  3 Tl 2.36, 3 F 2.61
10 F 0.9287 0.9287 0.9287  1 Li 2.13



[3]
Density functional theory data (GGA-PBE) for a relaxed structure of LiTlF3.

For the excess energy over the best structure of this formula in the dataset, the calculation gives 0 meV per atom. For the volume, the calculation gives 58.7 Å³/cell. Its energy is -4.083 eV/atom. As for the raw formation energy: -2.10 eV/atom. The calculation puts the total magnetic moment at 0.0 μB per formula unit.

Lattice parameters (Å, degrees): 3.8864 3.8864 3.8864 90.00 90.00 90.00
Closest atoms and distances in Å follow each position.
Fractional coordinates of all 5 atoms:
1 Li 0.0000 0.0000 0.0000  6 F 1.94
2 Tl 0.5000 0.5000 0.5000  12 F 2.75
3 F 0.0000 0.0000 0.5000  2 Li 1.94
4 F 0.0000 0.5000 0.0000  2 Li 1.94
5 F 0.5000 0.0000 0.0000  2 Li 1.94



raw formation energy of number 2 (LiTl2F7)? -1.98 eV/atom



Look up the energy of the first one. -4.137 eV/atom